Computed, not measured: a relaxed structure of AlGeMo3 at the PBEsol level of DFT.

Calculated values
Formation energy ... 1.611 eV per atom
Calculated volume ... 90.0 Å³ per cell
Total energy ... -36.3 eV/cell

Cell: 4.481 4.481 4.481 Å, 90.00 90.00 90.00°
Element x y z (fractional)
Mo 0.000 0.500 0.000
Mo 0.000 0.000 0.500
Mo 0.500 0.000 0.000
Ge 0.500 0.500 0.500
Al 0.000 0.000 0.000